# 1
# BaAs

An optimized crystal structure of BaAs (PBE-GGA, Alexandria).

## Properties
total magnetic moment = 0.0 Bohr magnetons per cell
energy of formation from the pure elements = -0.877 eV per atom
DFT total energy = -4.16 eV per atom

Cell lengths 5.6784, 5.6784, 17.1234 Å; angles 90.00, 90.00, 120.00 degrees
Space group R-3m (No. 166, hexagonal axes)
Unique sites:
Ba: 0.0000 0.0000 0.2444 [6 per cell]
As: 0.0000 0.0000 0.4277 [6 per cell]

# 2
# Er4Cu2Ir

An optimized crystal structure of Er4Cu2Ir (PBE-GGA, Alexandria).

## Properties
relative energy among the computed polymorphs = 33.2 meV/atom
total magnetic moment = 0.0 Bohr magnetons per cell
energy of formation from the pure elements = -0.378 eV per atom
DFT total energy = -5.42 eV per atom
density of states at the Fermi level = 6.156 states/eV/f.u.

Cell lengths 4.8350, 4.8350, 23.4740 Å; angles 90.00, 90.00, 120.00 degrees
Space group R-3m (No. 166, hexagonal axes)
Unique sites:
Er: 0.0000 0.0000 0.1235 [6 per cell]
Er: 0.0000 0.0000 0.3747 [6 per cell]
Cu: 0.0000 0.0000 0.2492 [6 per cell]
Ir: 0.0000 0.0000 0.0000 [3 per cell]